--- 1 ---
A geometry-optimized InBi3Au3 structure. Source: the Alexandria database, functional GGA-PBE.

Cell: 7.9052 7.9052 7.9052 Å, 90.00 90.00 90.00°
Atoms (fractional coordinates):
Bi1 0.0000 0.5000 0.7500
Bi2 0.5000 0.2500 0.0000
Bi3 0.0000 0.5000 0.2500
Bi4 0.5000 0.7500 0.0000
Bi5 0.2500 0.0000 0.5000
Bi6 0.7500 0.0000 0.5000
Au1 0.2500 0.5000 0.0000
Au2 0.0000 0.7500 0.5000
Au3 0.0000 0.2500 0.5000
Au4 0.7500 0.5000 0.0000
Au5 0.5000 0.0000 0.7500
Au6 0.5000 0.0000 0.2500
In1 0.5000 0.5000 0.5000
In2 0.0000 0.0000 0.0000

The density of states at the Fermi level is 3.7 states/eV/f.u.



--- 2 ---
A geometry-optimized InBi3Au3 structure. Source: the Alexandria database, functional GGA-PBE.

Cell: 7.6292 7.6292 7.6292 Å, 69.49 69.49 69.50°
Atoms (fractional coordinates):
Bi1 0.1613 0.6725 0.8691
Bi2 0.6725 0.8691 0.1613
Bi3 0.1309 0.8387 0.3275
Bi4 0.8691 0.1613 0.6725
Bi5 0.8387 0.3275 0.1309
Bi6 0.3275 0.1309 0.8387
Au1 0.5201 0.3487 0.9162
Au2 0.0838 0.4799 0.6513
Au3 0.6513 0.0838 0.4799
Au4 0.4799 0.6513 0.0838
Au5 0.3487 0.9162 0.5201
Au6 0.9162 0.5201 0.3487
In1 0.3192 0.3192 0.3192
In2 0.6808 0.6808 0.6808

The density of states at the Fermi level is 1.9 states/eV/f.u.



2 (242 meV per atom below the next structure)



--- 1 ---
A geometry-optimized In2Bi2Au structure. Source: the Alexandria database, functional GGA-PBE.

Cell: 4.8644 4.8644 14.1841 Å, 109.16 109.16 89.52°
Atoms (fractional coordinates):
In1 0.6398 0.8051 0.8838
In2 0.6102 0.9449 0.6162
In3 0.1949 0.3602 0.1162
In4 0.0551 0.3898 0.3838
Bi1 0.0335 0.3188 0.8436
Bi2 0.2165 0.4312 0.6564
Bi3 0.6812 0.9665 0.1564
Bi4 0.5688 0.7835 0.3436
Au1 0.6186 0.3814 0.0000
Au2 0.6314 0.3686 0.5000

The density of states at the Fermi level is 1.9 states/eV/f.u.



--- 2 ---
A geometry-optimized In2Bi2Au structure. Source: the Alexandria database, functional GGA-PBE.

Cell: 7.6634 7.6634 5.1484 Å, 90.00 90.00 90.00°
Atoms (fractional coordinates):
In1 0.6634 0.8366 0.5000
In2 0.8366 0.3366 0.5000
In3 0.3366 0.1634 0.5000
In4 0.1634 0.6634 0.5000
Bi1 0.3496 0.8496 0.0000
Bi2 0.8496 0.6504 0.0000
Bi3 0.1504 0.3496 0.0000
Bi4 0.6504 0.1504 0.0000
Au1 0.5000 0.5000 0.0000
Au2 0.0000 0.0000 0.0000

The density of states at the Fermi level is 3.0 states/eV/f.u.



1 (93 meV per atom below the next structure)



--- 1 ---
A geometry-optimized In2Bi2Au structure. Source: the Alexandria database, functional GGA-PBE.

Cell: 4.1249 4.1249 8.9461 Å, 76.67 76.67 90.00°
Atoms (fractional coordinates):
In1 0.2500 0.7500 0.5000
In2 0.7500 0.2500 0.5000
Bi1 0.5895 0.5895 0.8210
Bi2 0.4105 0.4105 0.1790
Au1 0.0000 0.0000 0.0000

The density of states at the Fermi level is 3.2 states/eV/f.u.



--- 2 ---
A geometry-optimized In2Bi2Au structure. Source: the Alexandria database, functional GGA-PBE.

Cell: 7.1706 7.1706 5.4736 Å, 90.00 90.00 90.00°
Atoms (fractional coordinates):
In1 0.3529 0.8529 0.0000
In2 0.6471 0.1471 0.0000
In3 0.1471 0.3529 0.0000
In4 0.8529 0.6471 0.0000
Bi1 0.3344 0.1656 0.5000
Bi2 0.6656 0.8344 0.5000
Bi3 0.8344 0.3344 0.5000
Bi4 0.1656 0.6656 0.5000
Au1 0.0000 0.0000 0.0000
Au2 0.5000 0.5000 0.0000

The density of states at the Fermi level is 2.6 states/eV/f.u.



2 (124 meV per atom below the next structure)



--- 1 ---
A geometry-optimized In2BiAu8 structure. Source: the Alexandria database, functional GGA-PBE.

Cell: 5.2994 8.1976 7.9308 Å, 58.88 71.09 51.17°
Atoms (fractional coordinates):
Au1 0.3169 0.4259 0.0000
Au2 0.8782 0.3308 0.7606
Au3 0.1218 0.9086 0.7606
Au4 0.8782 0.0914 0.2394
Au5 0.5000 0.7789 0.4423
Au6 0.5000 0.2211 0.5577
Au7 0.1218 0.6692 0.2394
Au8 0.6831 0.5741 0.0000
In1 0.0000 0.3102 0.3795
In2 0.0000 0.6898 0.6205
Bi1 0.5000 0.0000 0.0000

The density of states at the Fermi level is 2.6 states/eV/f.u.



--- 2 ---
A geometry-optimized In2BiAu8 structure. Source: the Alexandria database, functional GGA-PBE.

Cell: 5.5555 5.7684 8.8021 Å, 109.75 117.83 89.44°
Atoms (fractional coordinates):
Au1 0.4463 0.5823 0.6643
Au2 0.9985 0.2597 0.0022
Au3 0.5501 0.9106 0.3323
Au4 0.0875 0.1645 0.3333
Au5 0.5537 0.4177 0.3357
Au6 0.9125 0.8355 0.6667
Au7 0.4499 0.0894 0.6677
Au8 0.0015 0.7403 0.9978
In1 0.0001 0.3411 0.6833
In2 0.9999 0.6589 0.3167
Bi1 0.5000 0.0000 0.0000

The density of states at the Fermi level is 3.9 states/eV/f.u.



2 (10 meV per atom below the next structure)



--- 1 ---
A geometry-optimized Bi2Ir2Au structure. Source: the Alexandria database, functional GGA-PBE.

Cell: 5.3103 5.3103 4.9156 Å, 90.00 90.00 90.00°
Site moments in Bohr magnetons follow the coordinates.
Atoms (fractional coordinates):
Bi1 0.0000 0.5000 0.0000  -0.01
Bi2 0.5000 0.0000 0.0000  -0.01
Ir1 0.0000 0.0000 0.5000  0.74
Ir2 0.5000 0.5000 0.5000  0.58
Au1 0.0000 0.0000 0.0000  0.05

The density of states at the Fermi level is 7.7 states/eV/f.u.



--- 2 ---
A geometry-optimized Bi2Ir2Au structure. Source: the Alexandria database, functional GGA-PBE.

Cell: 7.3619 7.3619 3.8376 Å, 90.00 90.00 90.00°
Atoms (fractional coordinates):
Ir1 0.8618 0.6382 0.0000
Ir2 0.1382 0.3618 0.0000
Ir3 0.3618 0.8618 0.0000
Ir4 0.6382 0.1382 0.0000
Au1 0.5000 0.5000 0.0000
Au2 0.0000 0.0000 0.0000
Bi1 0.8367 0.3367 0.5000
Bi2 0.6633 0.8367 0.5000
Bi3 0.3367 0.1633 0.5000
Bi4 0.1633 0.6633 0.5000

The density of states at the Fermi level is 4.5 states/eV/f.u.



2 (1440 meV per atom below the next structure)



--- 1 ---
A geometry-optimized BiIr3Au structure. Source: the Alexandria database, functional GGA-PBE.

Cell: 4.9048 4.9048 4.9048 Å, 90.00 90.00 90.00°
Site moments in Bohr magnetons follow the coordinates.
Atoms (fractional coordinates):
Bi1 0.5000 0.5000 0.5000  -0.02
Au1 0.0000 0.0000 0.0000  0.17
Ir1 0.5000 0.0000 0.0000  0.62
Ir2 0.0000 0.5000 0.0000  0.89
Ir3 0.0000 0.0000 0.5000  1.04

The density of states at the Fermi level is 10.7 states/eV/f.u.



--- 2 ---
A geometry-optimized BiIr3Au structure. Source: the Alexandria database, functional GGA-PBE.

Cell: 4.9649 4.9649 4.9649 Å, 90.00 90.00 90.00°
Site moments in Bohr magnetons follow the coordinates.
Atoms (fractional coordinates):
Bi1 0.0000 0.0000 0.0000  -0.03
Ir1 0.0000 0.5000 0.0000  0.27
Ir2 0.5000 0.0000 0.0000  0.24
Ir3 0.0000 0.0000 0.5000  0.34
Au1 0.5000 0.5000 0.5000  0.00

The density of states at the Fermi level is 4.2 states/eV/f.u.



1 (268 meV per atom below the next structure)



--- 1 ---
A geometry-optimized BiIrPdAu structure. Source: the Alexandria database, functional GGA-PBE.

Cell: 3.2721 4.5205 5.3812 Å, 90.00 107.51 90.00°
Atoms (fractional coordinates):
Bi1 0.2882 0.5000 0.9659
Au1 0.0128 0.0000 0.4105
Ir1 0.5584 0.5000 0.5020
Pd1 0.7369 0.0000 0.8622

The density of states at the Fermi level is 3.2 states/eV/f.u.



--- 2 ---
A geometry-optimized BiIrPdAu structure. Source: the Alexandria database, functional GGA-PBE.

Cell: 3.3116 3.6710 6.0917 Å, 90.00 90.00 90.00°
Atoms (fractional coordinates):
Ir1 0.5000 0.0000 0.6206
Au1 0.0000 0.5000 0.3732
Bi1 0.0000 0.5000 0.8654
Pd1 0.5000 0.0000 0.1440

The density of states at the Fermi level is 3.1 states/eV/f.u.



2 (7 meV per atom below the next structure)



--- 1 ---
A geometry-optimized BiIrPdAu structure. Source: the Alexandria database, functional GGA-PBE.

Cell: 3.2396 4.8200 5.4185 Å, 110.82 105.64 93.07°
Atoms (fractional coordinates):
Au1 0.3577 0.0063 0.9827
Bi1 0.2023 0.4056 0.5292
Pd1 0.8888 0.5347 0.0491
Ir1 0.6644 0.9371 0.5048

The density of states at the Fermi level is 3.3 states/eV/f.u.



--- 2 ---
A geometry-optimized BiIrPdAu structure. Source: the Alexandria database, functional GGA-PBE.

Cell: 4.7256 3.2868 10.1510 Å, 90.00 109.47 90.00°
Atoms (fractional coordinates):
Au1 0.1078 0.0000 0.2198
Au2 0.1078 0.5000 0.7198
Bi1 0.4831 0.0000 0.9934
Bi2 0.4831 0.5000 0.4934
Ir1 0.6144 0.0000 0.7327
Ir2 0.6144 0.5000 0.2327
Pd1 0.9768 0.5000 0.9697
Pd2 0.9768 0.0000 0.4697

The density of states at the Fermi level is 3.0 states/eV/f.u.



--- 3 ---
A geometry-optimized BiIrPdAu structure. Source: the Alexandria database, functional GGA-PBE.

Cell: 4.1020 4.0821 8.7870 Å, 90.00 90.00 90.00°
Atoms (fractional coordinates):
Pd1 0.0000 0.0000 0.1530
Pd2 0.5000 0.5000 0.6530
Au1 0.0000 0.5000 0.4039
Au2 0.5000 0.0000 0.9039
Ir1 0.5000 0.0000 0.4029
Ir2 0.0000 0.5000 0.9029
Bi1 0.0000 0.0000 0.6544
Bi2 0.5000 0.5000 0.1544

The density of states at the Fermi level is 2.6 states/eV/f.u.



2 (8 meV per atom below the next structure)



--- 1 ---
A geometry-optimized BiIrPdAu structure. Source: the Alexandria database, functional GGA-PBE.

Cell: 5.0251 5.0251 5.9088 Å, 90.00 90.00 90.00°
Atoms (fractional coordinates):
Bi1 0.5000 0.5000 0.5000
Bi2 0.0000 0.0000 0.0000
Ir1 0.5000 0.0000 0.2500
Ir2 0.0000 0.5000 0.7500
Au1 0.0000 0.5000 0.2500
Au2 0.5000 0.0000 0.7500
Pd1 0.5000 0.5000 0.0000
Pd2 0.0000 0.0000 0.5000

The density of states at the Fermi level is 4.0 states/eV/f.u.



--- 2 ---
A geometry-optimized BiIrPdAu structure. Source: the Alexandria database, functional GGA-PBE.

Cell: 3.9435 4.2950 4.3315 Å, 90.00 90.00 90.00°
Atoms (fractional coordinates):
Pd1 0.5000 0.0000 0.0000
Bi1 0.0000 0.5000 0.0000
Ir1 0.5000 0.5000 0.5000
Au1 0.0000 0.0000 0.5000

The density of states at the Fermi level is 2.5 states/eV/f.u.



--- 3 ---
A geometry-optimized BiIrPdAu structure. Source: the Alexandria database, functional GGA-PBE.

Cell: 4.8447 4.8447 6.2457 Å, 90.00 90.00 90.00°
Atoms (fractional coordinates):
Pd1 0.0000 0.5000 0.7500
Pd2 0.5000 0.0000 0.2500
Ir1 0.0000 0.5000 0.2500
Ir2 0.5000 0.0000 0.7500
Au1 0.5000 0.5000 0.0000
Au2 0.0000 0.0000 0.5000
Bi1 0.5000 0.5000 0.5000
Bi2 0.0000 0.0000 0.0000

The density of states at the Fermi level is 2.3 states/eV/f.u.



3 (49 meV per atom below the next structure)



--- 1 ---
A geometry-optimized K3Bi3Au2 structure. Source: the Alexandria database, functional GGA-PBE.

Cell: 5.0601 6.5934 17.1122 Å, 90.00 90.00 112.56°
Atoms (fractional coordinates):
K1 0.9091 0.8183 0.3819
K2 0.3965 0.7930 0.7500
K3 0.0909 0.1817 0.8819
K4 0.9091 0.8183 0.1181
K5 0.0909 0.1817 0.6181
K6 0.6035 0.2070 0.2500
Au1 0.1955 0.3911 0.1020
Au2 0.1955 0.3911 0.3980
Au3 0.8045 0.6089 0.8980
Au4 0.8045 0.6089 0.6020
Bi1 0.6251 0.2502 0.0281
Bi2 0.6976 0.3951 0.7500
Bi3 0.3749 0.7498 0.9719
Bi4 0.6251 0.2502 0.4719
Bi5 0.3749 0.7498 0.5281
Bi6 0.3024 0.6049 0.2500

The density of states at the Fermi level is 4.8 states/eV/f.u.



--- 2 ---
A geometry-optimized K3Bi3Au2 structure. Source: the Alexandria database, functional GGA-PBE.

Cell: 5.3413 6.4302 16.7813 Å, 90.00 90.00 114.54°
Atoms (fractional coordinates):
K1 0.3421 0.6842 0.9666
K2 0.5068 0.0135 0.7500
K3 0.3421 0.6842 0.5334
K4 0.6579 0.3158 0.4666
K5 0.6579 0.3158 0.0334
K6 0.4932 0.9865 0.2500
Au1 0.1846 0.3691 0.1673
Au2 0.1846 0.3691 0.3327
Au3 0.8154 0.6309 0.8327
Au4 0.8154 0.6309 0.6673
Bi1 0.9654 0.9309 0.4008
Bi2 0.0346 0.0691 0.5992
Bi3 0.7927 0.5855 0.2500
Bi4 0.2073 0.4145 0.7500
Bi5 0.9654 0.9309 0.0992
Bi6 0.0346 0.0691 0.9008

The density of states at the Fermi level is 3.5 states/eV/f.u.



1 (68 meV per atom below the next structure)



--- 1 ---
A geometry-optimized KBiAu structure. Source: the Alexandria database, functional GGA-PBE.

Cell: 5.3603 6.6575 6.8713 Å, 68.90 67.69 89.85°
Atoms (fractional coordinates):
K1 0.7575 0.5248 0.0075
K2 0.5394 0.8998 0.4553
Au1 0.1563 0.2010 0.2167
Au2 0.4399 0.3451 0.6676
Bi1 0.2435 0.8944 0.0278
Bi2 0.0345 0.4562 0.4721

The density of states at the Fermi level is 0.4 states/eV/f.u.



--- 2 ---
A geometry-optimized KBiAu structure. Source: the Alexandria database, functional GGA-PBE.

Cell: 5.9803 5.9978 6.7516 Å, 111.22 110.47 96.33°
Atoms (fractional coordinates):
Bi1 0.5177 0.9849 0.2516
Bi2 0.4823 0.0151 0.7484
K1 0.8937 0.6097 0.7522
K2 0.1063 0.3903 0.2478
Au1 0.0000 0.0000 0.5000
Au2 0.5000 0.5000 0.0000

The density of states at the Fermi level is 0.2 states/eV/f.u.



2 (53 meV per atom below the next structure)